No. 1
First-principles (PBE with a Hubbard U) data for crystalline VRuRhO6 at its relaxed geometry, as listed in the Alexandria database.

Calculated values
SG = P-31c (163)
E_tot = -0.2634 Ha/atom

Cell: 4.9180 4.9180 8.9107 Å, 90.00 90.00 120.00°
Closest atoms and distances in Å follow each position.
Fractional positions:
V  0.3333  0.6667  0.2500  6 O 1.92
V  0.6667  0.3333  0.7500  6 O 1.92
Ru  0.0000  0.0000  0.0000  6 O 1.97
Ru  0.0000  0.0000  0.5000  6 O 1.97
Rh  0.3333  0.6667  0.7500  6 O 2.05
Rh  0.6667  0.3333  0.2500  6 O 2.05
O  0.0219  0.3393  0.1268  1 V 1.92, 1 Ru 1.97, 1 Rh 2.05
O  0.0219  0.6826  0.3732  1 V 1.92, 1 Ru 1.97, 1 Rh 2.05
O  0.3174  0.3393  0.3732  1 V 1.92, 1 Ru 1.97, 1 Rh 2.05
O  0.3174  0.9781  0.1268  1 V 1.92, 1 Ru 1.97, 1 Rh 2.05
O  0.3393  0.0219  0.6268  1 V 1.92, 1 Ru 1.97, 1 Rh 2.05
O  0.3393  0.3174  0.8732  1 V 1.92, 1 Ru 1.97, 1 Rh 2.05
O  0.6607  0.6826  0.1268  1 V 1.92, 1 Ru 1.97, 1 Rh 2.05
O  0.6607  0.9781  0.3732  1 V 1.92, 1 Ru 1.97, 1 Rh 2.05
O  0.6826  0.0219  0.8732  1 V 1.92, 1 Ru 1.97, 1 Rh 2.05
O  0.6826  0.6607  0.6268  1 V 1.92, 1 Ru 1.97, 1 Rh 2.05
O  0.9781  0.3174  0.6268  1 V 1.92, 1 Ru 1.97, 1 Rh 2.05
O  0.9781  0.6607  0.8732  1 V 1.92, 1 Ru 1.97, 1 Rh 2.05



No. 2
First-principles (PBE with a Hubbard U) data for crystalline RuRh2WO at its relaxed geometry, as listed in the Alexandria database.

Calculated values
SG = P4/mmm (123)
E_tot = -0.2536 Ha/atom

Cell: 4.1162 4.1162 4.0729 Å, 90.00 90.00 90.00°
Closest atoms and distances in Å follow each position.
Fractional positions:
Ru  0.0000  0.0000  0.0000  8 Rh 2.90, 4 W 2.91
Rh  0.0000  0.5000  0.5000  2 O 2.06
Rh  0.5000  0.0000  0.5000  2 O 2.06
W  0.5000  0.5000  0.0000  2 O 2.04
O  0.5000  0.5000  0.5000  2 W 2.04, 4 Rh 2.06



Among the records above, which one has the highest E_tot? RuRh2WO



What is the E_tot in the second record? -0.2536 Ha/atom



Among the records above, which one has the highest E_tot? RuRh2WO



What did the second record say?
First-principles (PBE with a Hubbard U) data for crystalline RuRh2WO at its relaxed geometry, as listed in the Alexandria database.

Calculated values
SG = P4/mmm (123)
E_tot = -0.2536 Ha/atom

Cell: 4.1162 4.1162 4.0729 Å, 90.00 90.00 90.00°
Closest atoms and distances in Å follow each position.
Fractional positions:
Ru  0.0000  0.0000  0.0000  8 Rh 2.90, 4 W 2.91
Rh  0.0000  0.5000  0.5000  2 O 2.06
Rh  0.5000  0.0000  0.5000  2 O 2.06
W  0.5000  0.5000  0.0000  2 O 2.04
O  0.5000  0.5000  0.5000  2 W 2.04, 4 Rh 2.06